Material: TlCr2Sb2
Method: DFT, GGA-PBE
State: optimized geometry

Geometry as CIF:
```
data_TlCr2Sb2
_symmetry_space_group_name_H-M 'P 1'
_symmetry_Int_Tables_number 1
_cell_length_a 3.4255
_cell_length_b 3.4255
_cell_length_c 10.1655
_cell_angle_alpha 80.30
_cell_angle_beta 80.30
_cell_angle_gamma 90.00
loop_
_symmetry_equiv_pos_as_xyz
'x,y,z'
loop_
_atom_site_label
_atom_site_fract_x
_atom_site_fract_y
_atom_site_fract_z
Sb1 0.3559 0.3559 0.2882
Sb2 0.6441 0.6441 0.7118
Tl1 0.0000 0.0000 0.0000
Cr1 0.7500 0.2500 0.5000
Cr2 0.2500 0.7500 0.5000
```

## Properties
Excess energy over the best structure of this formula in the dataset = 0.0 meV per atom
Density of states at the Fermi level = 0.8625 states/eV/atom
Crystal system = tetragonal
Uncorrected formation energy = 0.238 eV per atom